VASP calculation (PBE with a Hubbard U) on a relaxed MnC2O6 crystal.

Output
SG: P2_1/c, No. 14
E above lowest polymorph: 0.11 eV/f.u.

Structure (extended XYZ):
```
18
Lattice="5.215 0.000 0.000 0.000 7.160 0.000 -2.085 0.000 7.309" Properties=species:S:1:pos:R:3 pbc="T T T"
Mn 0.000 0.000 0.000
Mn -1.043 3.580 3.655
C -1.102 1.496 5.763
C -0.060 2.084 2.108
C 3.190 5.076 5.201
C 4.232 5.664 1.547
O -0.760 5.117 4.890
O 0.282 5.623 1.235
O 0.562 1.260 1.355
O -0.481 2.320 5.010
O -0.452 0.517 6.328
O 0.590 3.063 2.673
O 2.540 4.097 4.636
O 3.582 6.643 0.981
O 3.611 4.840 2.300
O 2.568 5.900 5.954
O 2.848 1.537 6.074
O 3.890 2.043 2.419
```